A plane-wave DFT calculation with PBE-GGA was carried out for an optimized crystal structure of K2GeS3. Values from VASP.

Geometry as Quantum ESPRESSO input:
```
&SYSTEM
  ibrav = 0, nat = 24, ntyp = 3
/
ATOMIC_SPECIES
S 32.06 S.upf
K 39.10 K.upf
Ge 72.64 Ge.upf
CELL_PARAMETERS angstrom
6.752 0.000 0.252
3.376 6.863 0.126
-0.559 0.000 15.139
ATOMIC_POSITIONS angstrom
S 8.079 4.729 10.143
K 1.607 2.747 2.286
K 4.539 1.482 14.362
K 4.865 2.747 5.535
S 6.332 0.987 11.606
K 5.029 5.381 1.155
Ge 8.348 6.841 2.833
Ge 4.876 6.841 5.241
S 4.585 4.729 13.070
Ge 1.220 0.022 12.684
S 3.236 5.876 3.911
K 1.374 1.482 8.598
S 6.612 5.877 4.037
S 4.760 1.284 8.482
S 4.983 2.134 2.447
K 7.961 4.116 13.231
S 8.416 5.579 1.038
S 2.956 0.986 11.480
S 4.808 5.579 7.035
Ge 4.692 0.022 10.276
K 8.194 5.381 6.919
S 1.489 2.134 5.374
S 1.152 1.284 14.479
K 4.703 4.116 9.982
```

Raw formation energy, eV/atom: -0.93



A plane-wave DFT calculation with PBE-GGA was carried out for an optimized crystal structure of GdSn2Sb. Values from VASP.

Geometry as Quantum ESPRESSO input:
```
&SYSTEM
  ibrav = 0, nat = 4, ntyp = 3
/
ATOMIC_SPECIES
Sb 121.76 Sb.upf
Sn 118.71 Sn.upf
Gd 157.25 Gd.upf
CELL_PARAMETERS angstrom
4.998 0.000 0.000
0.000 4.624 0.000
0.000 0.000 4.624
ATOMIC_POSITIONS angstrom
Sb 2.499 0.000 0.000
Sn 0.000 2.312 0.000
Sn 0.000 0.000 2.312
Gd 2.499 2.312 2.312
```

Energy above the most stable polymorph in this dataset, meV per atom: 0
Raw formation energy, eV/atom: -0.48